(1)
The following is a PBE calculation of a relaxed Li2MgInAg crystal, from Alexandria.

Output
V, Å³ per cell: 382
Final energy, eV per atom: -2.41
Total moment, μB/f.u.: 0.00
DFT formation energy, eV/f.u.: -1.01

Cell and atoms, written as CIF:
```
data_Li2MgInAg
_chemical_formula_sum 'Li8 Mg4 In4 Ag4'
_cell_length_a 14.093
_cell_length_b 4.484
_cell_length_c 6.052
_cell_angle_alpha 90.00
_cell_angle_beta 92.66
_cell_angle_gamma 90.00
_space_group_name_H-M_alt 'C 1 2/m 1'
_space_group_IT_number 12
_space_group_name_Hall '-C 2y'
loop_
_atom_site_label
_atom_site_type_symbol
_atom_site_fract_x
_atom_site_fract_y
_atom_site_fract_z
_atom_site_occupancy
Li1 Li 0.108 0.000 0.477 1
Li2 Li 0.197 0.500 0.675 1
Mg1 Mg 0.113 0.000 0.977 1
In1 In 0.006 0.500 0.256 1
Ag1 Ag 0.207 0.500 0.196 1
```

(2)
The following is a PBE calculation of a relaxed Li5MgIn2Ag2 crystal, from Alexandria.

Output
V, Å³ per cell: 384
Final energy, eV per atom: -2.38
Total moment, μB/f.u.: 0.00
DFT formation energy, eV/f.u.: -1.49

Cell and atoms, written as CIF:
```
data_Li5MgIn2Ag2
_chemical_formula_sum 'Li10 Mg2 In4 Ag4'
_cell_length_a 9.675
_cell_length_b 9.675
_cell_length_c 4.102
_cell_angle_alpha 90.00
_cell_angle_beta 90.00
_cell_angle_gamma 90.00
_space_group_name_H-M_alt 'P 4/m b m'
_space_group_IT_number 127
_space_group_name_Hall '-P 4 2ab'
loop_
_atom_site_label
_atom_site_type_symbol
_atom_site_fract_x
_atom_site_fract_y
_atom_site_fract_z
_atom_site_occupancy
Li1 Li 0.000 0.500 0.000 1
Li2 Li 0.082 0.199 0.000 1
Mg1 Mg 0.000 0.000 0.500 1
In1 In 0.171 0.671 0.500 1
Ag1 Ag 0.124 0.376 0.500 1
```

(3)
The following is a PBE calculation of a relaxed LiMgInAg2 crystal, from Alexandria.

Output
V, Å³ per cell: 403
Final energy, eV per atom: -2.50
Total moment, μB/f.u.: 0.00
DFT formation energy, eV/f.u.: -0.54

Cell and atoms, written as CIF:
```
data_LiMgInAg2
_chemical_formula_sum 'Li4 Mg4 In4 Ag8'
_cell_length_a 4.604
_cell_length_b 10.512
_cell_length_c 8.335
_cell_angle_alpha 90.00
_cell_angle_beta 90.00
_cell_angle_gamma 90.00
_space_group_name_H-M_alt 'C m c m'
_space_group_IT_number 63
_space_group_name_Hall '-C 2c 2'
loop_
_atom_site_label
_atom_site_type_symbol
_atom_site_fract_x
_atom_site_fract_y
_atom_site_fract_z
_atom_site_occupancy
Li1 Li 0.000 0.030 0.250 1
Mg1 Mg 0.000 0.300 0.250 1
In1 In 0.000 0.500 0.000 1
Ag1 Ag 0.000 0.178 0.557 1
```

(4)
The following is a PBE calculation of a relaxed Li2MgIn2Ag2 crystal, from Alexandria.

Output
V, Å³ per cell: 270
Final energy, eV per atom: -2.58
Total moment, μB/f.u.: 0.00
DFT formation energy, eV/f.u.: -1.44

Cell and atoms, written as CIF:
```
data_Li2MgIn2Ag2
_chemical_formula_sum 'Li4 Mg2 In4 Ag4'
_cell_length_a 8.210
_cell_length_b 4.729
_cell_length_c 7.451
_cell_angle_alpha 90.00
_cell_angle_beta 111.31
_cell_angle_gamma 90.00
_space_group_name_H-M_alt 'C 1 2/m 1'
_space_group_IT_number 12
_space_group_name_Hall '-C 2y'
loop_
_atom_site_label
_atom_site_type_symbol
_atom_site_fract_x
_atom_site_fract_y
_atom_site_fract_z
_atom_site_occupancy
Li1 Li 0.079 0.000 0.237 1
Mg1 Mg 0.000 0.500 0.500 1
In1 In 0.141 0.500 0.926 1
Ag1 Ag 0.211 0.000 0.633 1
```

(5)
The following is a PBE calculation of a relaxed Na2Li2In5Ag crystal, from Alexandria.

Output
V, Å³ per cell: 478
Final energy, eV per atom: -2.40
Total moment, μB/f.u.: 0.00
DFT formation energy, eV/f.u.: -0.94

Cell and atoms, written as CIF:
```
data_Na2Li2In5Ag
_chemical_formula_sum 'Na4 Li4 In10 Ag2'
_cell_length_a 11.449
_cell_length_b 11.449
_cell_length_c 3.645
_cell_angle_alpha 90.00
_cell_angle_beta 90.00
_cell_angle_gamma 90.00
_space_group_name_H-M_alt 'P 4/m b m'
_space_group_IT_number 127
_space_group_name_Hall '-P 4 2ab'
loop_
_atom_site_label
_atom_site_type_symbol
_atom_site_fract_x
_atom_site_fract_y
_atom_site_fract_z
_atom_site_occupancy
Na1 Na 0.177 0.323 0.000 1
Li1 Li 0.130 0.630 0.000 1
In1 In 0.000 0.500 0.500 1
In2 In 0.053 0.807 0.500 1
Ag1 Ag 0.000 0.000 0.000 1
```

(6)
The following is a PBE calculation of a relaxed NaLiInAg crystal, from Alexandria.

Output
V, Å³ per cell: 328
Final energy, eV per atom: -2.36
Total moment, μB/f.u.: 0.00
DFT formation energy, eV/f.u.: -0.61

Cell and atoms, written as CIF:
```
data_NaLiInAg
_chemical_formula_sum 'Na4 Li4 In4 Ag4'
_cell_length_a 6.898
_cell_length_b 6.898
_cell_length_c 6.898
_cell_angle_alpha 90.00
_cell_angle_beta 90.00
_cell_angle_gamma 90.00
_space_group_name_H-M_alt 'F -4 3 m'
_space_group_IT_number 216
_space_group_name_Hall 'F -4 2 3'
loop_
_atom_site_label
_atom_site_type_symbol
_atom_site_fract_x
_atom_site_fract_y
_atom_site_fract_z
_atom_site_occupancy
Na1 Na 0.000 0.000 0.000 1
Li1 Li 0.250 0.250 0.250 1
In1 In 0.000 0.000 0.500 1
Ag1 Ag 0.250 0.250 0.750 1
```

(7)
The following is a PBE calculation of a relaxed Na2LiIn3Ag12 crystal, from Alexandria.

Output
V, Å³ per cell: 1109
Final energy, eV per atom: -2.60
Total moment, μB/f.u.: 0.00
DFT formation energy, eV/f.u.: 0.25

Cell and atoms, written as CIF:
```
data_Na2LiIn3Ag12
_chemical_formula_sum 'Na6 Li3 In9 Ag36'
_cell_length_a 9.5216
_cell_length_b 9.5216
_cell_length_c 14.1226
_cell_angle_alpha 90.00
_cell_angle_beta 90.00
_cell_angle_gamma 120.00
_space_group_name_H-M_alt 'R -3 m'
_space_group_IT_number 166
_space_group_name_Hall '-R 3 2"'
loop_
_atom_site_label
_atom_site_type_symbol
_atom_site_fract_x
_atom_site_fract_y
_atom_site_fract_z
_atom_site_occupancy
Na1 Na 0.0000 0.0000 0.1934 1
Li1 Li 0.0000 0.0000 0.5000 1
In1 In 0.0000 0.5000 0.0000 1
Ag1 Ag 0.0102 0.5051 0.2025 1
Ag2 Ag 0.0192 0.5096 0.6007 1
```

(8)
The following is a PBE calculation of a relaxed LiNbIn2Ag crystal, from Alexandria.

Output
V, Å³ per cell: 100
Final energy, eV per atom: -3.42
Total moment, μB/f.u.: 0.00
DFT formation energy, eV/f.u.: 3.20

Cell and atoms, written as CIF:
```
data_LiNbIn2Ag
_chemical_formula_sum 'Li1 Nb1 In2 Ag1'
_cell_length_a 4.637
_cell_length_b 4.637
_cell_length_c 4.643
_cell_angle_alpha 90.00
_cell_angle_beta 90.00
_cell_angle_gamma 90.00
_space_group_name_H-M_alt 'P 4/m m m'
_space_group_IT_number 123
_space_group_name_Hall '-P 4 2'
loop_
_atom_site_label
_atom_site_type_symbol
_atom_site_fract_x
_atom_site_fract_y
_atom_site_fract_z
_atom_site_occupancy
Li1 Li 0.000 0.000 0.000 1
Nb1 Nb 0.000 0.000 0.500 1
In1 In 0.000 0.500 0.000 1
Ag1 Ag 0.500 0.500 0.500 1
```

(9)
The following is a PBE calculation of a relaxed LiNdInAg crystal, from Alexandria.

Output
V, Å³ per cell: 351
Final energy, eV per atom: -3.46
Total moment, μB/f.u.: 0.00
DFT formation energy, eV/f.u.: -1.55

Cell and atoms, written as CIF:
```
data_LiNdInAg
_chemical_formula_sum 'Li4 Nd4 In4 Ag4'
_cell_length_a 7.051
_cell_length_b 7.051
_cell_length_c 7.051
_cell_angle_alpha 90.00
_cell_angle_beta 90.00
_cell_angle_gamma 90.00
_space_group_name_H-M_alt 'F -4 3 m'
_space_group_IT_number 216
_space_group_name_Hall 'F -4 2 3'
loop_
_atom_site_label
_atom_site_type_symbol
_atom_site_fract_x
_atom_site_fract_y
_atom_site_fract_z
_atom_site_occupancy
Li1 Li 0.000 0.000 0.000 1
Nd1 Nd 0.250 0.250 0.750 1
In1 In 0.250 0.250 0.250 1
Ag1 Ag 0.000 0.000 0.500 1
```

(10)
The following is a PBE calculation of a relaxed LiNdIn2Ag4 crystal, from Alexandria.

Output
V, Å³ per cell: 501
Final energy, eV per atom: -3.19
Total moment, μB/f.u.: 0.00
DFT formation energy, eV/f.u.: -1.98

Cell and atoms, written as CIF:
```
data_LiNdIn2Ag4
_chemical_formula_sum 'Li3 Nd3 In6 Ag12'
_cell_length_a 4.8295
_cell_length_b 4.8295
_cell_length_c 24.7916
_cell_angle_alpha 90.00
_cell_angle_beta 90.00
_cell_angle_gamma 120.00
_space_group_name_H-M_alt 'R -3 m'
_space_group_IT_number 166
_space_group_name_Hall '-R 3 2"'
loop_
_atom_site_label
_atom_site_type_symbol
_atom_site_fract_x
_atom_site_fract_y
_atom_site_fract_z
_atom_site_occupancy
Li1 Li 0.0000 0.0000 0.0000 1
Nd1 Nd 0.0000 0.0000 0.5000 1
In1 In 0.0000 0.0000 0.2504 1
Ag1 Ag 0.0000 0.0000 0.1070 1
Ag2 Ag 0.0000 0.0000 0.3682 1
```

(11)
The following is a PBE calculation of a relaxed Li2NdInAg crystal, from Alexandria.

Output
V, Å³ per cell: 221
Final energy, eV per atom: -3.04
Total moment, μB/f.u.: 0.00
DFT formation energy, eV/f.u.: -1.00

Cell and atoms, written as CIF:
```
data_Li2NdInAg
_chemical_formula_sum 'Li4 Nd2 In2 Ag2'
_cell_length_a 3.445
_cell_length_b 4.859
_cell_length_c 13.176
_cell_angle_alpha 90.00
_cell_angle_beta 90.00
_cell_angle_gamma 90.00
_space_group_name_H-M_alt 'I m m 2'
_space_group_IT_number 44
_space_group_name_Hall 'I 2 -2'
loop_
_atom_site_label
_atom_site_type_symbol
_atom_site_fract_x
_atom_site_fract_y
_atom_site_fract_z
_atom_site_occupancy
Li1 Li 0.000 0.000 0.000 1
Li2 Li 0.000 0.500 0.335 1
Nd1 Nd 0.000 0.500 0.723 1
In1 In 0.000 0.000 0.451 1
Ag1 Ag 0.000 0.500 0.129 1
```